1.
DFT (GGA-PBE) results for a relaxed EuCdSn2 crystal.

a = 5.387 Å, b = 5.387 Å, c = 5.387 Å
α = 60.00°, β = 60.00°, γ = 60.00°
Each line ends with the local moment (μB).
Fractional coordinates of all 4 atoms:
1 Eu 0.500 0.500 0.500  -6.81
2 Sn 0.250 0.250 0.250  0.01
3 Sn 0.750 0.750 0.750  0.01
4 Cd 0.000 0.000 0.000  0.01

Output
volume	111	Å³ per cell
crystal system	cubic
DOS at the Fermi energy	0.643	states/eV/atom
excess energy over the best structure of this formula in the dataset	0.69	eV/f.u.
formation enthalpy at 0 K	-0.27	eV per atom

2.
DFT (GGA-PBE) results for a relaxed ZnCdCu2 crystal.

a = 4.339 Å, b = 4.997 Å, c = 5.514 Å
α = 90.00°, β = 90.00°, γ = 90.00°
Fractional coordinates of all 8 atoms:
1 Cu 0.500 0.350 0.761
2 Cu 0.000 0.650 0.261
3 Cu 0.000 0.650 0.739
4 Cu 0.500 0.350 0.239
5 Zn 0.000 0.226 0.000
6 Zn 0.500 0.774 0.500
7 Cd 0.500 0.853 0.000
8 Cd 0.000 0.147 0.500

Output
volume	120	Å³ per cell
crystal system	orthorhombic
DOS at the Fermi energy	0.169	states/eV/atom
formation enthalpy at 0 K	0.01	eV per atom

3.
DFT (GGA-PBE) results for a relaxed LiTmLuRh crystal.

a = 4.844 Å, b = 4.844 Å, c = 4.844 Å
α = 60.00°, β = 60.00°, γ = 60.00°
Fractional coordinates of all 4 atoms:
1 Rh 0.750 0.750 0.750
2 Lu 0.500 0.500 0.500
3 Tm 0.000 0.000 0.000
4 Li 0.250 0.250 0.250

Output
volume	80	Å³ per cell
crystal system	cubic
DOS at the Fermi energy	0.698	states/eV/atom
formation enthalpy at 0 K	-0.55	eV per atom

4.
DFT (GGA-PBE) results for a relaxed Ga3BI crystal.

a = 4.673 Å, b = 4.673 Å, c = 4.673 Å
α = 90.00°, β = 90.00°, γ = 90.00°
Fractional coordinates of all 5 atoms:
1 B 0.000 0.000 0.000
2 I 0.500 0.500 0.500
3 Ga 0.000 0.000 0.500
4 Ga 0.500 0.000 0.000
5 Ga 0.000 0.500 0.000

Output
volume	102	Å³ per cell
crystal system	cubic
DOS at the Fermi energy	0.540	states/eV/atom
formation energy (no corrections)	1.785	eV per formula unit
excess energy over the best structure of this formula in the dataset	0.00	eV/f.u.

- DOS at the Fermi energy of number 1 (EuCdSn2)?
  0.643 states/eV/atom

- Look up the volume of the first one.
  111 Å³ per cell

- Which value of volume does entry 2 give?
  120 Å³ per cell